A plane-wave DFT calculation with PBE-GGA was carried out for a relaxed HfReNi2W crystal.

Structure (POSCAR):
```
HfReNi2W
1.0
4.294 0.000 0.000
0.000 4.294 0.000
0.000 0.000 4.949
Hf Re Ni W
1 1 2 1
direct
0.000 0.000 0.000 Hf
0.500 0.500 0.500 Re
0.000 0.500 0.000 Ni
0.500 0.000 0.000 Ni
0.000 0.000 0.500 W
```

The calculation puts the energy at -0.270 Ha/atom. As for the total magnetization: 0.000 μB/f.u. The calculation puts the volume at 18.3 A^3/atom.